A plane-wave DFT calculation with PBE was carried out for crystalline ZnAs2Se at its relaxed geometry.

Calculated values
D(E_F): 1.565 states/eV/f.u.
Crystal system: tetragonal
Uncorrected formation energy: 0.352 eV per atom

POSCAR file:
```
ZnAs2Se
1.0
4.777 0.000 0.000
0.000 4.777 0.000
0.000 0.000 3.316
Zn As Se
1 2 1
Cartesian
0.000 0.000 0.000
0.000 2.388 1.658
2.388 0.000 1.658
2.388 2.388 0.000
```